# RbMgV, relaxed, DFT PBE
data_RbMgV
_cell_length_a 6.2941
_cell_length_b 6.2941
_cell_length_c 11.2666
_cell_angle_alpha 90.00
_cell_angle_beta 90.00
_cell_angle_gamma 120.00
_space_group_name_H-M_alt 'P 63/m m c'
_space_group_IT_number 194
_space_group_name_Hall '-P 6c 2c'
loop_
_atom_site_label
_atom_site_type_symbol
_atom_site_fract_x
_atom_site_fract_y
_atom_site_fract_z
_atom_site_occupancy
Rb1 Rb 0.3333 0.6667 0.2500 1
Mg1 Mg 0.0000 0.0000 0.2500 1
V1 V 0.0000 0.0000 0.0000 1
# energy relative to the elements = 4.6 eV per formula unit
# Fermi-level density of states = 10.80 states/eV/f.u.
# energy = -14.13 eV per cell